1.
Here is PaReOs after structural relaxation from Alexandria. Energies are from PBE.

a = 2.876 Å, b = 4.635 Å, c = 8.179 Å
α = 90.00°, β = 90.00°, γ = 90.00°
Fractional positions:
Pa 0.250 0.250 0.087
Pa 0.750 0.750 0.913
Re 0.250 0.250 0.454
Re 0.750 0.750 0.546
Os 0.250 0.750 0.272
Os 0.750 0.250 0.728

Output
Crystal system: orthorhombic
Energy relative to the elements: 1.13 eV/f.u.

---

2.
Here is ZnTc2Se after structural relaxation from Alexandria. Energies are from PBE.

a = 2.897 Å, b = 2.897 Å, c = 8.369 Å
α = 90.00°, β = 90.00°, γ = 117.56°
Fractional positions:
Zn 0.000 0.000 0.000
Tc 0.500 0.500 0.262
Tc 0.500 0.500 0.738
Se 0.000 0.000 0.500

Output
Crystal system: orthorhombic
ΔE_f (raw): 0.50 eV per atom

---

3.
Here is KCaZn2Rh after structural relaxation from Alexandria. Energies are from PBE.

a = 5.056 Å, b = 5.056 Å, c = 5.216 Å
α = 90.00°, β = 90.00°, γ = 90.00°
Fractional positions:
K 0.000 0.000 0.000
Ca 0.500 0.500 0.000
Zn 0.000 0.500 0.500
Zn 0.500 0.000 0.500
Rh 0.500 0.500 0.500

Output
Crystal system: tetragonal
Energy relative to the elements: -0.68 eV/f.u.

---

Electronic total energy per entry: -10.682 -5.876 -2.735 eV per atom